1.
Crystalline Pr6Nd3Sm2Tm at its relaxed geometry. Source: Alexandria, functional GGA-PBE.

The calculated density comes out at 6903 kg/m3. As for the spin magnetization: 0.00 μB/atom. The crystal system is monoclinic. Its formation energy from the elements is 14 meV per atom. For the density of states at the Fermi level, the calculation gives 1.4536 states/eV/atom.

It has space group C2/m (No. 12), with a = 6.374 Å, b = 11.044 Å, c = 12.135 Å, α = 90.00°, β = 100.12° and γ = 90.00°. Symmetry generates all atoms from Pr at (0.249, 0.166, 0.247), Pr at (0.250, 0.000, 0.753), Nd at (0.000, 0.167, 0.500), Nd at (0.000, 0.500, 0.500), Sm at (0.000, 0.333, 0.000) and Tm at (0.000, 0.000, 0.000).

---

2.
Crystalline Pr2NdSm5Tm at its relaxed geometry. Source: Alexandria, functional GGA-PBE.

The calculated density comes out at 7205 kg/m3. As for the spin magnetization: 0.00 μB/atom. The crystal system is tetragonal. Its formation energy from the elements is 270 meV per atom. For the density of states at the Fermi level, the calculation gives 1.4456 states/eV/atom.

It has space group I4/mcm (No. 140), with a = 8.795 Å, b = 8.795 Å, c = 16.049 Å, α = 90.00°, β = 90.00° and γ = 90.00°. Symmetry generates all atoms from Pr at (0.119, 0.381, 0.000), Nd at (0.000, 0.000, 0.250), Sm at (0.000, 0.000, 0.000), Sm at (0.212, 0.288, 0.360) and Tm at (0.000, 0.500, 0.250).

---

3.
Crystalline Pr2Nd2SmTm at its relaxed geometry. Source: Alexandria, functional GGA-PBE.

The calculated density comes out at 7203 kg/m3. As for the spin magnetization: 0.00 μB/atom. The crystal system is orthorhombic. Its formation energy from the elements is 57 meV per atom. For the density of states at the Fermi level, the calculation gives 1.5445 states/eV/atom.

It has space group Pmma (No. 51), with a = 7.125 Å, b = 5.770 Å, c = 9.978 Å, α = 90.00°, β = 90.00° and γ = 90.00°. Symmetry generates all atoms from Pr at (0.000, 0.000, 0.000), Pr at (0.250, 0.500, 0.177), Nd at (0.250, 0.000, 0.332), Nd at (0.250, 0.500, 0.836), Sm at (0.250, 0.000, 0.658) and Tm at (0.000, 0.500, 0.500).

---

4.
Crystalline PrNd4Sm2Tm2 at its relaxed geometry. Source: Alexandria, functional GGA-PBE.

The calculated density comes out at 7404 kg/m3. As for the spin magnetization: 0.00 μB/atom. The crystal system is monoclinic. Its formation energy from the elements is 20 meV per atom. For the density of states at the Fermi level, the calculation gives 1.5393 states/eV/atom.

It has space group C2/m (No. 12), with a = 15.417 Å, b = 5.133 Å, c = 8.104 Å, α = 90.00°, β = 108.44° and γ = 90.00°. Symmetry generates all atoms from Pr at (0.000, 0.000, 0.000), Nd at (0.055, 0.500, 0.332), Nd at (0.223, 0.000, 0.330), Sm at (0.112, 0.000, 0.668) and Tm at (0.169, 0.500, 0.999).

---

5.
Crystalline Pr2Nd3SmTm6 at its relaxed geometry. Source: Alexandria, functional GGA-PBE.

The calculated density comes out at 8033 kg/m3. As for the spin magnetization: 0.00 μB/atom. The crystal system is monoclinic. Its formation energy from the elements is 16 meV per atom. For the density of states at the Fermi level, the calculation gives 1.0101 states/eV/atom.

It has space group C2/m (No. 12), with a = 6.231 Å, b = 10.789 Å, c = 11.738 Å, α = 90.00°, β = 100.17° and γ = 90.00°. Symmetry generates all atoms from Pr at (0.000, 0.166, 0.000), Nd at (0.000, 0.000, 0.500), Nd at (0.000, 0.333, 0.500), Sm at (0.000, 0.500, 0.000), Tm at (0.249, 0.500, 0.750) and Tm at (0.250, 0.167, 0.750).

---

6.
Crystalline PrNdSm5Tm2 at its relaxed geometry. Source: Alexandria, functional GGA-PBE.

The calculated density comes out at 7440 kg/m3. As for the spin magnetization: 0.00 μB/atom. The crystal system is orthorhombic. Its formation energy from the elements is 154 meV per atom. For the density of states at the Fermi level, the calculation gives 1.5565 states/eV/atom.

It has space group Cmc2_1 (No. 36), with a = 5.683 Å, b = 20.299 Å, c = 10.639 Å, α = 90.00°, β = 90.00° and γ = 90.00°. Symmetry generates all atoms from Pr at (0.000, 0.085, 0.000), Nd at (0.000, 0.299, 0.565), Sm at (0.000, 0.023, 0.291), Sm at (0.000, 0.109, 0.579), Sm at (0.000, 0.203, 0.260), Sm at (0.000, 0.219, 0.864), Sm at (0.000, 0.483, 0.577), Tm at (0.000, 0.384, 0.876) and Tm at (0.000, 0.388, 0.286).

---

7.
Crystalline Pr6Nd2Sm3Tm at its relaxed geometry. Source: Alexandria, functional GGA-PBE.

The calculated density comes out at 6956 kg/m3. As for the spin magnetization: 0.00 μB/atom. The crystal system is monoclinic. Its formation energy from the elements is 13 meV per atom. For the density of states at the Fermi level, the calculation gives 1.4140 states/eV/atom.

It has space group C2/m (No. 12), with a = 6.364 Å, b = 11.025 Å, c = 12.123 Å, α = 90.00°, β = 100.11° and γ = 90.00°. Symmetry generates all atoms from Pr at (0.249, 0.000, 0.250), Pr at (0.249, 0.166, 0.750), Nd at (0.000, 0.333, 0.500), Sm at (0.000, 0.166, 0.000), Sm at (0.000, 0.500, 0.000) and Tm at (0.000, 0.000, 0.500).

---

8.
Crystalline Pr2NdSm2Tm at its relaxed geometry. Source: Alexandria, functional GGA-PBE.

The calculated density comes out at 7300 kg/m3. As for the spin magnetization: 0.00 μB/atom. The crystal system is orthorhombic. Its formation energy from the elements is 58 meV per atom. For the density of states at the Fermi level, the calculation gives 1.5401 states/eV/atom.

It has space group Pmma (No. 51), with a = 7.117 Å, b = 5.751 Å, c = 9.956 Å, α = 90.00°, β = 90.00° and γ = 90.00°. Symmetry generates all atoms from Pr at (0.000, 0.000, 0.000), Pr at (0.250, 0.500, 0.177), Nd at (0.250, 0.000, 0.657), Sm at (0.250, 0.000, 0.332), Sm at (0.250, 0.500, 0.836) and Tm at (0.000, 0.500, 0.500).

---

9.
Crystalline Pr5Nd2SmTm at its relaxed geometry. Source: Alexandria, functional GGA-PBE.

The calculated density comes out at 6798 kg/m3. As for the spin magnetization: 0.00 μB/atom. The crystal system is tetragonal. Its formation energy from the elements is 275 meV per atom. For the density of states at the Fermi level, the calculation gives 1.6210 states/eV/atom.

It has space group I4/mcm (No. 140), with a = 8.765 Å, b = 8.765 Å, c = 16.689 Å, α = 90.00°, β = 90.00° and γ = 90.00°. Symmetry generates all atoms from Pr at (0.000, 0.000, 0.000), Pr at (0.216, 0.284, 0.143), Nd at (0.120, 0.380, 0.500), Sm at (0.000, 0.000, 0.250) and Tm at (0.000, 0.500, 0.250).

---

10.
Crystalline Pr3NdSm2Tm6 at its relaxed geometry. Source: Alexandria, functional GGA-PBE.

The calculated density comes out at 8054 kg/m3. As for the spin magnetization: 0.00 μB/atom. The crystal system is monoclinic. Its formation energy from the elements is 17 meV per atom. For the density of states at the Fermi level, the calculation gives 1.0174 states/eV/atom.

It has space group C2/m (No. 12), with a = 6.228 Å, b = 10.785 Å, c = 11.734 Å, α = 90.00°, β = 100.17° and γ = 90.00°. Symmetry generates all atoms from Pr at (0.000, 0.000, 0.000), Pr at (0.000, 0.333, 0.000), Nd at (0.000, 0.500, 0.500), Sm at (0.000, 0.167, 0.500), Tm at (0.249, 0.000, 0.748) and Tm at (0.250, 0.167, 0.252).

---

11.
Crystalline Pr5NdSm2Tm at its relaxed geometry. Source: Alexandria, functional GGA-PBE.

The calculated density comes out at 6861 kg/m3. As for the spin magnetization: 0.00 μB/atom. The crystal system is tetragonal. Its formation energy from the elements is 284 meV per atom. For the density of states at the Fermi level, the calculation gives 1.7132 states/eV/atom.

It has space group I4/mcm (No. 140), with a = 8.993 Å, b = 8.993 Å, c = 15.783 Å, α = 90.00°, β = 90.00° and γ = 90.00°. Symmetry generates all atoms from Pr at (0.000, 0.000, 0.000), Pr at (0.209, 0.291, 0.139), Nd at (0.000, 0.000, 0.250), Sm at (0.115, 0.385, 0.500) and Tm at (0.000, 0.500, 0.250).

---

12.
Crystalline Pr3Nd2SmTm6 at its relaxed geometry. Source: Alexandria, functional GGA-PBE.

The calculated density comes out at 7999 kg/m3. As for the spin magnetization: 0.00 μB/atom. The crystal system is monoclinic. Its formation energy from the elements is 17 meV per atom. For the density of states at the Fermi level, the calculation gives 1.0172 states/eV/atom.

It has space group C2/m (No. 12), with a = 6.237 Å, b = 10.799 Å, c = 11.743 Å, α = 90.00°, β = 100.18° and γ = 90.00°. Symmetry generates all atoms from Pr at (0.000, 0.000, 0.000), Pr at (0.000, 0.333, 0.000), Nd at (0.000, 0.167, 0.500), Sm at (0.000, 0.500, 0.500), Tm at (0.250, 0.000, 0.749) and Tm at (0.250, 0.167, 0.251).

---

13.
Crystalline PrNd2SmTm5 at its relaxed geometry. Source: Alexandria, functional GGA-PBE.

The calculated density comes out at 8090 kg/m3. As for the spin magnetization: 0.00 μB/atom. The crystal system is tetragonal. Its formation energy from the elements is 252 meV per atom. For the density of states at the Fermi level, the calculation gives 1.0505 states/eV/atom.

It has space group I4/mcm (No. 140), with a = 8.706 Å, b = 8.706 Å, c = 15.428 Å, α = 90.00°, β = 90.00° and γ = 90.00°. Symmetry generates all atoms from Pr at (0.000, 0.000, 0.250), Nd at (0.117, 0.383, 0.000), Sm at (0.000, 0.500, 0.250), Tm at (0.000, 0.000, 0.000) and Tm at (0.210, 0.290, 0.363).

---

14.
Crystalline Pr2NdSm6Tm at its relaxed geometry. Source: Alexandria, functional GGA-PBE.

The calculated density comes out at 7237 kg/m3. As for the spin magnetization: 0.00 μB/atom. The crystal system is monoclinic. Its formation energy from the elements is 114 meV per atom. For the density of states at the Fermi level, the calculation gives 1.4282 states/eV/atom.

It has space group C2/c (No. 15), with a = 9.211 Å, b = 15.296 Å, c = 9.862 Å, α = 90.00°, β = 98.50° and γ = 90.00°. Symmetry generates all atoms from Pr at (0.247, 0.050, 0.043), Nd at (0.000, 0.018, 0.750), Sm at (0.066, 0.189, 0.444), Sm at (0.100, 0.394, 0.619), Sm at (0.206, 0.222, 0.811) and Tm at (0.000, 0.408, 0.250).

---

15.
Crystalline Pr2Nd6SmTm at its relaxed geometry. Source: Alexandria, functional GGA-PBE.

The calculated density comes out at 6944 kg/m3. As for the spin magnetization: 0.00 μB/atom. The crystal system is monoclinic. Its formation energy from the elements is 112 meV per atom. For the density of states at the Fermi level, the calculation gives 1.4604 states/eV/atom.

It has space group C2/c (No. 15), with a = 9.277 Å, b = 15.424 Å, c = 9.912 Å, α = 90.00°, β = 98.50° and γ = 90.00°. Symmetry generates all atoms from Pr at (0.247, 0.050, 0.043), Nd at (0.065, 0.186, 0.445), Nd at (0.101, 0.395, 0.619), Nd at (0.207, 0.220, 0.810), Sm at (0.000, 0.018, 0.750) and Tm at (0.000, 0.409, 0.250).

---

16.
Crystalline PrNd2Sm2Tm2 at its relaxed geometry. Source: Alexandria, functional GGA-PBE.

The calculated density comes out at 7582 kg/m3. As for the spin magnetization: 0.00 μB/atom. The crystal system is monoclinic. Its formation energy from the elements is 18 meV per atom. For the density of states at the Fermi level, the calculation gives 1.3487 states/eV/atom.

It has space group C2/m (No. 12), with a = 11.383 Å, b = 5.114 Å, c = 8.119 Å, α = 90.00°, β = 98.17° and γ = 90.00°. Symmetry generates all atoms from Pr at (0.000, 0.000, 0.000), Nd at (0.072, 0.500, 0.717), Sm at (0.144, 0.000, 0.430) and Tm at (0.215, 0.500, 0.142).

---

17.
Crystalline PrNd3SmTm at its relaxed geometry. Source: Alexandria, functional GGA-PBE.

The calculated density comes out at 7217 kg/m3. As for the spin magnetization: 0.00 μB/atom. The crystal system is orthorhombic. Its formation energy from the elements is 17 meV per atom. For the density of states at the Fermi level, the calculation gives 1.4948 states/eV/atom.

It has space group Cmcm (No. 63), with a = 5.135 Å, b = 15.496 Å, c = 10.327 Å, α = 90.00°, β = 90.00° and γ = 90.00°. Symmetry generates all atoms from Pr at (0.000, 0.002, 0.250), Nd at (0.000, 0.167, 0.001), Nd at (0.000, 0.332, 0.250), Sm at (0.000, 0.500, 0.000) and Tm at (0.000, 0.333, 0.750).

---

18.
Crystalline PrNdSm4Tm2 at its relaxed geometry. Source: Alexandria, functional GGA-PBE.

The calculated density comes out at 7461 kg/m3. As for the spin magnetization: 0.00 μB/atom. The crystal system is monoclinic. Its formation energy from the elements is 396 meV per atom. For the density of states at the Fermi level, the calculation gives 2.3626 states/eV/atom.

It has space group C2/c (No. 15), with a = 13.731 Å, b = 13.320 Å, c = 6.873 Å, α = 90.00°, β = 119.87° and γ = 90.00°. Symmetry generates all atoms from Pr at (0.250, 0.250, 0.000), Nd at (0.000, 0.000, 0.000), Sm at (0.004, 0.256, 0.005), Sm at (0.246, 0.496, 0.477), Tm at (0.000, 0.500, 0.000) and Tm at (0.250, 0.250, 0.500).

---

19.
Crystalline PrNd2Sm3Tm6 at its relaxed geometry. Source: Alexandria, functional GGA-PBE.

The calculated density comes out at 8175 kg/m3. As for the spin magnetization: 0.00 μB/atom. The crystal system is monoclinic. Its formation energy from the elements is 17 meV per atom. For the density of states at the Fermi level, the calculation gives 1.0600 states/eV/atom.

It has space group C2/m (No. 12), with a = 6.209 Å, b = 10.750 Å, c = 11.712 Å, α = 90.00°, β = 100.14° and γ = 90.00°. Symmetry generates all atoms from Pr at (0.000, 0.000, 0.000), Nd at (0.000, 0.333, 0.000), Sm at (0.000, 0.167, 0.500), Sm at (0.000, 0.500, 0.500), Tm at (0.249, 0.000, 0.748) and Tm at (0.249, 0.333, 0.748).